(1)
Hg4Se2Cl3: optimized geometry, PBE.

It has space group C2/c (No. 15), with a = 11.0903 Å, b = 12.8161 Å, c = 7.6505 Å, α = 90.00°, β = 104.65° and γ = 90.00°. The distinct sites, in fractional coordinates, are Hg at (0.0924, 0.1634, 0.0437), Hg at (0.1418, 0.4749, 0.5288), Se at (0.1731, 0.3633, 0.8285), Cl at (0.0000, 0.3212, 0.2500) and Cl at (0.1227, 0.1136, 0.5974).

The total energy comes out at -67.1 eV per cell. The value obtained for the uncorrected formation energy is -0.341 eV/atom. For the size of the total moment, the calculation gives 0.00 μB per formula unit. For the density of states at the Fermi level, the calculation gives 11.02 states/eV/cell.

=====

(2)
PuTlInI6: optimized geometry, PBE.

It has space group P4_2nm (No. 102), with a = 7.7657 Å, b = 7.7657 Å, c = 14.4503 Å, α = 90.00°, β = 90.00° and γ = 90.00°. The distinct sites, in fractional coordinates, are Pu at (0.0000, 0.0000, 0.0000), Tl at (0.0000, 0.0000, 0.6675), In at (0.0000, 0.0000, 0.3343), I at (0.1831, 0.1831, 0.1589), I at (0.1968, 0.1968, 0.8516) and I at (0.2232, 0.2232, 0.4943).

The total energy comes out at -70.6 eV per cell. The value obtained for the uncorrected formation energy is -0.728 eV/atom. For the size of the total moment, the calculation gives 4.14 μB per formula unit. For the density of states at the Fermi level, the calculation gives 27.60 states/eV/cell.

=====

(3)
CsInSe2Br: optimized geometry, PBE.

It has space group P4/mmm (No. 123), with a = 5.3504 Å, b = 5.3504 Å, c = 5.9592 Å, α = 90.00°, β = 90.00° and γ = 90.00°. The distinct sites, in fractional coordinates, are Cs at (0.0000, 0.0000, 0.0000), In at (0.5000, 0.5000, 0.5000), Se at (0.0000, 0.5000, 0.5000) and Br at (0.5000, 0.5000, 0.0000).

The total energy comes out at -15.5 eV per cell. The value obtained for the uncorrected formation energy is -0.646 eV/atom. For the size of the total moment, the calculation gives 0.43 μB per formula unit. For the density of states at the Fermi level, the calculation gives 5.26 states/eV/cell.

=====

(4)
OsPb2Br: optimized geometry, PBE.

It has space group I-4m2 (No. 119), with a = 4.0972 Å, b = 4.0972 Å, c = 12.5445 Å, α = 90.00°, β = 90.00° and γ = 90.00°. The distinct sites, in fractional coordinates, are Os at (0.0000, 0.0000, 0.0000), Pb at (0.0000, 0.0000, 0.5000), Pb at (0.0000, 0.5000, 0.7500) and Br at (0.0000, 0.5000, 0.2500).

The total energy comes out at -33.2 eV per cell. The value obtained for the uncorrected formation energy is 0.935 eV/atom. For the size of the total moment, the calculation gives 0.68 μB per formula unit. For the density of states at the Fermi level, the calculation gives 7.34 states/eV/cell.

=====

(5)
CsNaMg2Au: optimized geometry, PBE.

It has space group P4/mmm (No. 123), with a = 5.3351 Å, b = 5.3351 Å, c = 6.0179 Å, α = 90.00°, β = 90.00° and γ = 90.00°. The distinct sites, in fractional coordinates, are Cs at (0.0000, 0.0000, 0.0000), Na at (0.5000, 0.5000, 0.0000), Mg at (0.0000, 0.5000, 0.5000) and Au at (0.5000, 0.5000, 0.5000).

The total energy comes out at -9.3 eV per cell. The calculation puts the formation energy at -0.1283 eV per atom. For the size of the total moment, the calculation gives 0.00 μB per formula unit. For the density of states at the Fermi level, the calculation gives 1.83 states/eV/cell.

=====

(6)
TlZnHPd2: optimized geometry, PBE.

It has space group P4/mmm (No. 123), with a = 4.1473 Å, b = 4.1473 Å, c = 4.1079 Å, α = 90.00°, β = 90.00° and γ = 90.00°. The distinct sites, in fractional coordinates, are Tl at (0.0000, 0.0000, 0.0000), Zn at (0.5000, 0.5000, 0.0000), H at (0.5000, 0.5000, 0.5000) and Pd at (0.0000, 0.5000, 0.5000).

The total energy comes out at -17.7 eV per cell. For the size of the total moment, the calculation gives 0.00 μB per formula unit. For the density of states at the Fermi level, the calculation gives 1.70 states/eV/cell.

=====

(7)
TlZn6Sb4: optimized geometry, PBE.

It has space group I4/mmm (No. 139), with a = 4.4212 Å, b = 4.4212 Å, c = 28.2999 Å, α = 90.00°, β = 90.00° and γ = 90.00°. The distinct sites, in fractional coordinates, are Tl at (0.0000, 0.0000, 0.0000), Zn at (0.0000, 0.5000, 0.1242), Zn at (0.0000, 0.5000, 0.2500), Sb at (0.0000, 0.0000, 0.1897) and Sb at (0.0000, 0.0000, 0.4320).

The total energy comes out at -52.1 eV per cell. The value obtained for the uncorrected formation energy is 0.041 eV/atom. For the size of the total moment, the calculation gives 0.00 μB per formula unit. For the density of states at the Fermi level, the calculation gives 4.62 states/eV/cell.

=====

(8)
BaGa2Pd2Pt: optimized geometry, PBE.

It has space group P4/mmm (No. 123), with a = 4.8079 Å, b = 4.8079 Å, c = 5.9681 Å, α = 90.00°, β = 90.00° and γ = 90.00°. The distinct sites, in fractional coordinates, are Ba at (0.0000, 0.0000, 0.0000), Ga at (0.0000, 0.5000, 0.5000), Pd at (0.5000, 0.5000, 0.2636) and Pt at (0.0000, 0.0000, 0.5000).

The total energy comes out at -27.4 eV per cell. The calculation puts the formation energy at -0.4983 eV per atom. For the size of the total moment, the calculation gives 0.00 μB per formula unit. For the density of states at the Fermi level, the calculation gives 1.49 states/eV/cell.